DFT (PBE) results for TbSm6Y3 after structural relaxation.

As for the density of states at the Fermi level: 1.39 states/eV per atom. Its energy of formation is 139 meV/atom. Its calculated density is 6.56 g cm⁻³. As for the crystal system: orthorhombic. The value obtained for the excess energy over the best structure of this formula in the dataset is 12.5 meV/atom. The space group is Cmc2_1.

a = 11.1719 Å, b = 11.1719 Å, c = 6.2228 Å
α = 90.00°, β = 90.00°, γ = 120.12°
Sites, in units of the cell vectors:
1 Tb 0.2025 0.7975 0.5000
2 Tb 0.7975 0.2025 0.0000
3 Sm 0.0434 0.9566 0.6993
4 Sm 0.0505 0.4710 0.2568
5 Sm 0.2794 0.7206 0.9847
6 Sm 0.2898 0.3780 0.0862
7 Sm 0.3780 0.2898 0.5862
8 Sm 0.4710 0.0505 0.7568
9 Sm 0.5290 0.9495 0.2568
10 Sm 0.6220 0.7102 0.0862
11 Sm 0.7102 0.6220 0.5862
12 Sm 0.7206 0.2794 0.4847
13 Sm 0.9495 0.5290 0.7568
14 Sm 0.9566 0.0434 0.1993
15 Y 0.0568 0.2796 0.6592
16 Y 0.2796 0.0568 0.1592
17 Y 0.3868 0.6132 0.5515
18 Y 0.6132 0.3868 0.0515
19 Y 0.7204 0.9432 0.6592
20 Y 0.9432 0.7204 0.1592